[1]
Material: Nd6Mg23C
Method: DFT, meta-GGA SCAN
State: PBEsol geometry

POSCAR file:
```
Nd6Mg23C
1.0
0.000 7.136 7.136
7.136 0.000 7.136
7.136 7.136 0.000
Nd Mg C
6 23 1
Cartesian
7.136 7.136 2.594
7.136 2.594 7.136
11.679 7.136 7.136
2.594 7.136 7.136
7.136 11.679 7.136
7.136 7.136 11.679
3.568 3.568 0.000
3.568 0.000 3.568
7.136 3.568 3.568
8.850 5.422 5.422
2.431 2.431 2.431
4.705 4.705 2.431
4.705 2.431 4.705
5.422 5.422 5.422
8.850 8.850 5.422
8.850 5.422 8.850
2.431 4.705 4.705
0.000 3.568 3.568
3.568 7.136 3.568
3.568 3.568 7.136
7.136 7.136 7.136
11.841 9.567 9.567
5.422 8.850 5.422
5.422 5.422 8.850
8.850 8.850 8.850
9.567 11.841 9.567
9.567 9.567 11.841
11.841 11.841 11.841
5.422 8.850 8.850
0.000 0.000 0.000
```

Values from the calculation:
V ... 24.2 A^3/atom
SG ... No. 225
ΔH_f (0 K) ... -3.89 eV per formula unit

[2]
Material: MgNi3C
Method: DFT, meta-GGA SCAN
State: PBEsol geometry

POSCAR file:
```
MgNi3C
1.0
3.764 0.000 0.000
0.000 3.764 0.000
0.000 0.000 3.764
Mg Ni C
1 3 1
Cartesian
0.000 0.000 0.000
0.000 1.882 1.882
1.882 0.000 1.882
1.882 1.882 0.000
1.882 1.882 1.882
```

Values from the calculation:
V ... 10.7 A^3/atom
SG ... No. 221
ΔH_f (0 K) ... -0.54 eV per formula unit

[3]
Material: MgC2O4
Method: DFT, meta-GGA SCAN
State: PBEsol geometry

POSCAR file:
```
MgC2O4
1.0
5.403 0.000 0.000
0.000 5.030 0.000
-3.003 0.000 5.192
Mg C O
2 4 8
Cartesian
0.000 0.000 0.000
-1.501 2.515 2.596
-0.272 0.604 4.717
1.229 1.911 2.121
1.171 3.119 3.072
2.672 4.426 0.476
-1.377 1.026 4.237
0.124 1.489 1.641
0.033 3.606 3.298
1.534 3.940 0.701
0.865 1.090 4.491
2.367 1.425 1.895
2.275 3.542 3.552
3.777 4.004 0.955
```

Values from the calculation:
V ... 10.1 A^3/atom
SG ... No. 14
Formation energy without anion corrections ... -173 kJ/mol of atoms

[4]
Material: Mg3C2O7
Method: DFT, meta-GGA SCAN
State: PBEsol geometry

POSCAR file:
```
Mg3C2O7
1.0
-4.435 4.435 4.050
4.435 -4.435 4.050
4.435 4.435 -4.050
Mg C O
6 4 14
Cartesian
2.508 0.000 0.000
6.361 0.000 0.000
4.435 0.000 2.025
0.000 2.508 0.000
0.000 6.361 0.000
0.000 4.435 2.025
2.265 2.265 -1.815
2.169 -2.169 5.865
2.169 2.169 2.235
-2.169 2.169 5.865
4.435 0.000 0.000
1.605 1.605 -0.890
3.374 -1.796 2.254
6.231 -1.061 1.796
2.830 -2.830 4.940
2.639 1.061 1.796
5.496 1.796 2.254
0.000 4.435 0.000
1.061 2.639 1.796
-1.796 3.374 2.254
2.830 2.830 3.161
1.796 5.496 2.254
-1.061 6.231 1.796
-2.830 2.830 4.940
```

Values from the calculation:
V ... 13.3 A^3/atom
SG ... No. 121
Formation energy without anion corrections ... -218 kJ/mol of atoms

[5]
Material: Mg3CO
Method: DFT, meta-GGA SCAN
State: PBEsol geometry

POSCAR file:
```
Mg3CO
1.0
3.943 0.000 0.000
0.000 3.943 0.000
0.000 0.000 3.943
Mg C O
3 1 1
Cartesian
0.000 0.000 1.971
0.000 1.971 0.000
1.971 0.000 0.000
1.971 1.971 1.971
0.000 0.000 0.000
```

Values from the calculation:
V ... 12.3 A^3/atom
SG ... No. 221
Formation energy without anion corrections ... -53 kJ/mol of atoms

[6]
Material: MgCO2
Method: DFT, meta-GGA SCAN
State: PBEsol geometry

POSCAR file:
```
MgCO2
1.0
-2.084 2.084 4.907
2.084 -2.084 4.907
2.084 2.084 -4.907
Mg C O
2 2 4
Cartesian
0.000 0.000 0.000
0.000 2.084 2.454
2.084 0.000 2.454
0.000 0.000 4.907
1.042 -0.898 3.681
1.185 1.042 1.227
1.042 2.982 -1.227
0.898 1.042 6.134
```

Values from the calculation:
V ... 10.7 A^3/atom
SG ... No. 122
Formation energy without anion corrections ... -19 kJ/mol of atoms

[7]
Material: MgOs2C
Method: DFT, meta-GGA SCAN
State: PBEsol geometry

POSCAR file:
```
MgOs2C
1.0
0.000 2.889 2.889
2.889 0.000 2.889
2.889 2.889 0.000
Mg Os C
1 2 1
Cartesian
0.000 0.000 0.000
1.444 1.444 1.444
4.333 4.333 4.333
2.889 2.889 2.889
```

Values from the calculation:
V ... 12.1 A^3/atom
SG ... No. 225
ΔH_f (0 K) ... 6.46 eV per formula unit

[8]
Material: Mg3OsC
Method: DFT, meta-GGA SCAN
State: PBEsol geometry

POSCAR file:
```
Mg3OsC
1.0
4.894 0.000 0.000
0.000 4.894 0.000
0.000 0.000 4.894
Mg Os C
3 1 1
Cartesian
0.000 0.000 2.447
0.000 2.447 0.000
2.447 0.000 0.000
0.000 0.000 0.000
2.447 2.447 2.447
```

Values from the calculation:
V ... 23.4 A^3/atom
SG ... No. 221
ΔH_f (0 K) ... 9.07 eV per formula unit

[9]
Material: MgP2C2
Method: DFT, meta-GGA SCAN
State: PBEsol geometry

POSCAR file:
```
MgP2C2
1.0
-1.916 1.916 4.439
1.916 -1.916 4.439
1.916 1.916 -4.439
Mg P C
1 2 2
Cartesian
0.000 0.000 0.000
1.916 0.000 2.219
0.000 1.916 2.219
0.000 0.000 2.226
0.000 0.000 6.652
```

Values from the calculation:
V ... 13.0 A^3/atom
SG ... No. 139
ΔH_f (0 K) ... 4.67 eV per formula unit

[10]
Material: MgPC2
Method: DFT, meta-GGA SCAN
State: PBEsol geometry

POSCAR file:
```
MgPC2
1.0
0.000 2.723 2.723
2.723 0.000 2.723
2.723 2.723 0.000
Mg P C
1 1 2
Cartesian
0.000 0.000 0.000
2.723 2.723 2.723
1.362 1.362 1.362
4.085 4.085 4.085
```

Values from the calculation:
V ... 10.1 A^3/atom
SG ... No. 225
ΔH_f (0 K) ... 7.77 eV per formula unit

[11]
Material: MgPCS2
Method: DFT, meta-GGA SCAN
State: PBEsol geometry

POSCAR file:
```
MgPCS2
1.0
4.586 0.000 0.000
0.000 4.586 0.000
0.000 0.000 3.549
Mg P C S
1 1 1 2
Cartesian
0.000 0.000 0.000
2.293 2.293 0.000
2.293 2.293 1.775
0.000 2.293 1.775
2.293 0.000 1.775
```

Values from the calculation:
V ... 14.9 A^3/atom
SG ... No. 123
Formation energy without anion corrections ... 70 kJ/mol of atoms

[12]
Material: MgPb3C
Method: DFT, meta-GGA SCAN
State: PBEsol geometry

POSCAR file:
```
MgPb3C
1.0
5.361 0.000 0.000
0.000 5.361 0.000
0.000 0.000 5.361
Mg Pb C
1 3 1
Cartesian
0.000 0.000 0.000
0.000 0.000 2.681
0.000 2.681 0.000
2.681 0.000 0.000
2.681 2.681 2.681
```

Values from the calculation:
V ... 30.8 A^3/atom
SG ... No. 221
ΔH_f (0 K) ... 8.04 eV per formula unit

[13]
Material: MgPtC2
Method: DFT, meta-GGA SCAN
State: PBEsol geometry

POSCAR file:
```
MgPtC2
1.0
-2.410 2.410 4.772
2.410 -2.410 4.772
2.410 2.410 -4.772
Mg Pt C
2 2 4
Cartesian
0.000 0.000 0.000
0.000 2.410 2.386
2.410 0.000 2.386
0.000 0.000 4.772
1.205 -0.971 3.579
1.439 1.205 1.193
1.205 3.382 -1.193
0.971 1.205 5.965
```

Values from the calculation:
V ... 13.9 A^3/atom
SG ... No. 122
ΔH_f (0 K) ... 3.46 eV per formula unit

[14]
Material: RbYMgC2
Method: DFT, meta-GGA SCAN
State: PBEsol geometry

POSCAR file:
```
RbYMgC2
1.0
4.371 0.000 0.000
0.000 4.371 0.000
0.000 0.000 4.645
Rb Y Mg C
1 1 1 2
Cartesian
0.000 0.000 0.000
2.185 2.185 0.000
0.000 0.000 2.322
0.000 2.185 2.322
2.185 0.000 2.322
```

Values from the calculation:
V ... 17.7 A^3/atom
SG ... No. 123
ΔH_f (0 K) ... 9.29 eV per formula unit

[15]
Material: MgReC3
Method: DFT, meta-GGA SCAN
State: PBEsol geometry

POSCAR file:
```
MgReC3
1.0
3.861 0.000 0.000
0.000 3.861 0.000
0.000 0.000 3.861
Mg Re C
1 1 3
Cartesian
0.000 0.000 0.000
1.931 1.931 1.931
0.000 0.000 1.931
0.000 1.931 0.000
1.931 0.000 0.000
```

Values from the calculation:
V ... 11.5 A^3/atom
SG ... No. 221
ΔH_f (0 K) ... 17.27 eV per formula unit

[16]
Material: MgCS2
Method: DFT, meta-GGA SCAN
State: PBEsol geometry

POSCAR file:
```
MgCS2
1.0
-2.522 2.522 5.406
2.522 -2.522 5.406
2.522 2.522 -5.406
Mg C S
2 2 4
Cartesian
0.000 0.000 0.000
0.000 2.522 2.703
2.522 0.000 2.703
0.000 0.000 5.406
1.261 -0.864 4.055
1.658 1.261 1.352
1.261 3.386 -1.352
0.864 1.261 6.758
```

Values from the calculation:
V ... 17.2 A^3/atom
SG ... No. 122
Formation energy without anion corrections ... 42 kJ/mol of atoms

[17]
Material: Mg2TcCS
Method: DFT, meta-GGA SCAN
State: PBEsol geometry

POSCAR file:
```
Mg2TcCS
1.0
5.077 0.000 0.000
0.000 5.077 0.000
0.000 0.000 4.247
Mg Tc C S
2 1 1 1
Cartesian
0.000 2.538 0.000
2.538 0.000 0.000
0.000 0.000 0.000
2.538 2.538 2.124
0.000 0.000 2.124
```

Values from the calculation:
V ... 21.9 A^3/atom
SG ... No. 123
Formation energy without anion corrections ... 121 kJ/mol of atoms

[18]
Material: MgTlSbC2
Method: DFT, meta-GGA SCAN
State: PBEsol geometry

POSCAR file:
```
MgTlSbC2
1.0
4.372 0.000 0.000
0.000 4.372 0.000
0.000 0.000 5.371
Mg Tl Sb C
1 1 1 2
Cartesian
0.000 0.000 0.000
0.000 0.000 2.685
2.186 2.186 0.000
0.000 2.186 2.685
2.186 0.000 2.685
```

Values from the calculation:
V ... 20.5 A^3/atom
SG ... No. 123
Formation energy without anion corrections ... 234 kJ/mol of atoms

[19]
Material: MgSc3C
Method: DFT, meta-GGA SCAN
State: PBEsol geometry

POSCAR file:
```
MgSc3C
1.0
4.991 0.000 0.000
0.000 4.991 0.000
0.000 0.000 4.991
Mg Sc C
1 3 1
Cartesian
0.000 0.000 0.000
0.000 0.000 2.495
0.000 2.495 0.000
2.495 0.000 0.000
2.495 2.495 2.495
```

Values from the calculation:
V ... 24.9 A^3/atom
SG ... No. 221
ΔH_f (0 K) ... 9.92 eV per formula unit

[20]
Material: MgSc3C
Method: DFT, meta-GGA SCAN
State: PBEsol geometry

POSCAR file:
```
MgSc3C
1.0
4.571 0.000 0.000
0.000 4.571 0.000
0.000 0.000 4.571
Mg Sc C
1 3 1
Cartesian
0.000 0.000 0.000
0.000 2.286 2.286
2.286 0.000 2.286
2.286 2.286 0.000
2.286 2.286 2.286
```

Values from the calculation:
V ... 19.1 A^3/atom
SG ... No. 221
ΔH_f (0 K) ... -2.00 eV per formula unit

[21]
Material: Mg2SnC
Method: DFT, meta-GGA SCAN
State: PBEsol geometry

POSCAR file:
```
Mg2SnC
1.0
-3.794 3.794 2.537
3.794 -3.794 2.537
3.794 3.794 -2.537
Mg Sn C
4 2 2
Cartesian
1.897 0.983 -0.634
2.811 -1.897 3.171
1.897 2.811 1.902
0.983 5.690 0.634
3.794 0.000 1.268
0.000 0.000 2.537
0.000 0.000 0.000
0.000 3.794 1.268
```

Values from the calculation:
V ... 18.3 A^3/atom
SG ... No. 122
ΔH_f (0 K) ... 2.28 eV per formula unit

[22]
Material: MgSnC3
Method: DFT, meta-GGA SCAN
State: PBEsol geometry

POSCAR file:
```
MgSnC3
1.0
4.101 0.000 0.000
0.000 4.101 0.000
0.000 0.000 4.101
Mg Sn C
1 1 3
Cartesian
0.000 0.000 0.000
2.050 2.050 2.050
0.000 0.000 2.050
0.000 2.050 0.000
2.050 0.000 0.000
```

Values from the calculation:
V ... 13.8 A^3/atom
SG ... No. 221
ΔH_f (0 K) ... 13.93 eV per formula unit

[23]
Material: MgSnC2
Method: DFT, meta-GGA SCAN
State: PBEsol geometry

POSCAR file:
```
MgSnC2
1.0
-2.630 2.630 4.575
2.630 -2.630 4.575
2.630 2.630 -4.575
Mg Sn C
2 2 4
Cartesian
0.000 0.000 0.000
0.000 2.630 2.287
2.630 0.000 2.287
0.000 0.000 4.575
1.315 -1.261 3.431
1.369 1.315 1.144
1.315 3.891 -1.144
1.261 1.315 5.718
```

Values from the calculation:
V ... 15.8 A^3/atom
SG ... No. 122
ΔH_f (0 K) ... 5.04 eV per formula unit

[24]
Material: Sr3MgC
Method: DFT, meta-GGA SCAN
State: PBEsol geometry

POSCAR file:
```
Sr3MgC
1.0
5.460 0.000 0.000
0.000 5.460 0.000
0.000 0.000 5.460
Sr Mg C
3 1 1
Cartesian
0.000 0.000 2.730
0.000 2.730 0.000
2.730 0.000 0.000
2.730 2.730 2.730
0.000 0.000 0.000
```

Values from the calculation:
V ... 32.5 A^3/atom
SG ... No. 221
ΔH_f (0 K) ... 1.45 eV per formula unit

[25]
Material: MgTa2WC
Method: DFT, meta-GGA SCAN
State: PBEsol geometry

POSCAR file:
```
MgTa2WC
1.0
4.623 0.000 0.000
0.000 4.623 0.000
0.000 0.000 4.457
Mg Ta W C
1 2 1 1
Cartesian
0.000 0.000 0.000
0.000 2.312 0.000
2.312 0.000 0.000
0.000 0.000 2.229
2.312 2.312 2.229
```

Values from the calculation:
V ... 19.1 A^3/atom
SG ... No. 123
ΔH_f (0 K) ... 17.72 eV per formula unit